[1]
DFT (PBE) results for a geometry-optimized LaPmAsBr structure.

abc: 5.242 5.242 5.242
angles: 60.00 60.00 60.00
Sites, in units of the cell vectors:
La 0.500 0.500 0.500
Pm 0.000 0.000 0.000
Br 0.250 0.250 0.250
As 0.750 0.750 0.750

SG: No. 216
DOS(E_F): 3.2 states/eV/cell
raw formation energy: -1.264 eV per atom

***

[2]
DFT (PBE) results for a geometry-optimized LaAsPtBr2 structure.

abc: 5.648 5.648 6.204
angles: 90.00 90.00 90.00
Sites, in units of the cell vectors:
Br 0.500 0.000 0.000
Br 0.000 0.500 0.000
Pt 0.500 0.500 0.500
La 0.000 0.000 0.000
As 0.000 0.000 0.500

SG: No. 123
DOS(E_F): 4.4 states/eV/cell
energy above the most stable polymorph in this dataset: 0.635 eV per atom
raw formation energy: 0.126 eV per atom

***

[3]
DFT (PBE) results for a geometry-optimized La8AsPt3Br4 structure.

abc: 8.634 9.084 8.634
angles: 118.38 120.00 90.00
Sites, in units of the cell vectors:
La 0.734 0.701 0.467
La 0.731 0.713 0.972
La 0.241 0.713 0.972
La 0.759 0.287 0.518
La 0.266 0.299 0.533
La 0.269 0.287 0.028
La 0.241 0.713 0.482
La 0.759 0.287 0.028
Br 0.500 0.000 0.000
Br 0.000 0.000 0.000
Br 0.500 0.000 0.500
Br 0.000 0.000 0.500
Pt 0.500 0.500 0.500
Pt 0.500 0.500 0.000
Pt 0.000 0.500 0.500
As 0.000 0.500 0.000

SG: No. 166
DOS(E_F): 14.8 states/eV/cell
raw formation energy: -1.353 eV per atom

***

[4]
DFT (PBE) results for a geometry-optimized La6AsPt2Br3 structure.

abc: 7.529 7.529 7.889
angles: 99.23 99.23 119.86
Sites, in units of the cell vectors:
Br 0.842 0.158 0.500
Br 0.158 0.842 0.500
Br 0.500 0.500 0.500
La 0.416 0.072 0.212
La 0.072 0.416 0.212
La 0.275 0.275 0.791
La 0.928 0.584 0.788
La 0.584 0.928 0.788
La 0.725 0.725 0.209
As 0.000 0.000 0.000
Pt 0.332 0.668 0.000
Pt 0.668 0.332 0.000

SG: No. 12
DOS(E_F): 10.5 states/eV/cell
raw formation energy: -1.371 eV per atom

***

Copy entry 1 word for word.
DFT (PBE) results for a geometry-optimized LaPmAsBr structure.

abc: 5.242 5.242 5.242
angles: 60.00 60.00 60.00
Sites, in units of the cell vectors:
La 0.500 0.500 0.500
Pm 0.000 0.000 0.000
Br 0.250 0.250 0.250
As 0.750 0.750 0.750

SG: No. 216
DOS(E_F): 3.2 states/eV/cell
raw formation energy: -1.264 eV per atom

***

Please write out number 4 again, unchanged.
DFT (PBE) results for a geometry-optimized La6AsPt2Br3 structure.

abc: 7.529 7.529 7.889
angles: 99.23 99.23 119.86
Sites, in units of the cell vectors:
Br 0.842 0.158 0.500
Br 0.158 0.842 0.500
Br 0.500 0.500 0.500
La 0.416 0.072 0.212
La 0.072 0.416 0.212
La 0.275 0.275 0.791
La 0.928 0.584 0.788
La 0.584 0.928 0.788
La 0.725 0.725 0.209
As 0.000 0.000 0.000
Pt 0.332 0.668 0.000
Pt 0.668 0.332 0.000

SG: No. 12
DOS(E_F): 10.5 states/eV/cell
raw formation energy: -1.371 eV per atom